Record 1
Computed, not measured: a relaxed Tl3CdHg crystal at the PBE level of DFT.

Values from the calculation:
Electronic total energy   -1.60 eV/atom
Energy above the lowest structure with this stoichiometry   31 meV per atom
Fermi-level density of states   11.37 states/eV/cell

a b c (Å): 7.347 16.058 6.245
angles (deg): 90.00 125.07 90.00
Space group C2/c (No. 15)
One atom of each set of equivalent atoms:
Tl 0.000 0.000 0.000
Tl 0.174 0.333 0.087
Cd 0.000 0.490 0.250
Hg 0.000 0.180 0.250



Record 2
Computed, not measured: a relaxed BeBPd2 crystal at the PBE level of DFT.

Values from the calculation:
Electronic total energy   -4.89 eV/atom
Energy above the lowest structure with this stoichiometry   347 meV per atom
Fermi-level density of states   6.80 states/eV/cell

a b c (Å): 5.029 5.029 9.337
angles (deg): 90.00 90.00 90.00
Space group I-42d (No. 122)
One atom of each set of equivalent atoms:
Be 0.000 0.000 0.000
B 0.000 0.000 0.500
Pd 0.219 0.250 0.625



Record 3
Computed, not measured: a relaxed Tb2Ge3Pd5 crystal at the PBE level of DFT.

Values from the calculation:
Electronic total energy   -5.68 eV/atom
Energy above the lowest structure with this stoichiometry   14 meV per atom
Fermi-level density of states   25.61 states/eV/cell

a b c (Å): 11.231 11.351 5.819
angles (deg): 90.00 90.00 90.00
Space group Ibam (No. 72)
One atom of each set of equivalent atoms:
Tb 0.135 0.222 0.000
Ge 0.000 0.500 0.250
Ge 0.137 0.122 0.500
Pd 0.000 0.000 0.250
Pd 0.095 0.335 0.500
Pd 0.231 0.500 0.250



Record 4
Computed, not measured: a relaxed LiV3Ni7 crystal at the PBE level of DFT.

Values from the calculation:
Electronic total energy   -6.19 eV/atom
Fermi-level density of states   20.55 states/eV/cell

a b c (Å): 8.416 8.844 4.246
angles (deg): 90.00 119.92 90.00
Space group C2/m (No. 12)
One atom of each set of equivalent atoms:
Li 0.000 0.000 0.000
V 0.000 0.267 0.500
V 0.000 0.500 0.000
Ni 0.000 0.000 0.500
Ni 0.177 0.500 0.673
Ni 0.183 0.290 0.183



Record 5
Computed, not measured: a relaxed Sr2MnSbS5 crystal at the PBE level of DFT.

Values from the calculation:
Electronic total energy   -5.20 eV/atom
Uncorrected formation energy   -1052 meV/atom
Fermi-level density of states   2.41 states/eV/cell

a b c (Å): 3.817 17.156 13.996
angles (deg): 90.00 90.00 90.00
Space group Cmc2_1 (No. 36)
One atom of each set of equivalent atoms:
Sr 0.000 0.093 0.000
Sr 0.000 0.113 0.679
Mn 0.000 0.227 0.462
Sb 0.000 0.428 0.811
S 0.000 0.086 0.440
S 0.000 0.242 0.863
S 0.000 0.265 0.076
S 0.000 0.430 0.339
S 0.000 0.484 0.626



Record 6
Computed, not measured: a relaxed TbDy2As crystal at the PBE level of DFT.

Values from the calculation:
Electronic total energy   -5.21 eV/atom
Fermi-level density of states   14.15 states/eV/cell

a b c (Å): 3.8394 3.8394 28.3394
angles (deg): 90.00 90.00 120.00
Space group R-3m (No. 166, hexagonal axes)
One atom of each set of equivalent atoms:
Tb 0.0000 0.0000 0.0000
Dy 0.0000 0.0000 0.2282
As 0.0000 0.0000 0.5000



Record 7
Computed, not measured: a relaxed CaTePb2 crystal at the PBE level of DFT.

Values from the calculation:
Electronic total energy   -3.42 eV/atom
Uncorrected formation energy   -281 meV/atom
Energy above the lowest structure with this stoichiometry   284 meV per atom
Fermi-level density of states   10.47 states/eV/cell

a b c (Å): 9.276 9.276 6.336
angles (deg): 90.00 90.00 90.00
Space group I-42d (No. 122)
One atom of each set of equivalent atoms:
Ca 0.000 0.000 0.000
Te 0.000 0.000 0.500
Pb 0.227 0.750 0.625



Record 8
Computed, not measured: a relaxed TmNpCl6 crystal at the PBE level of DFT.

Values from the calculation:
Electronic total energy   -5.53 eV/atom
Uncorrected formation energy   -1971 meV/atom
Fermi-level density of states   9.50 states/eV/cell

a b c (Å): 6.763 12.394 6.651
angles (deg): 90.00 105.88 90.00
Space group C2/m (No. 12)
One atom of each set of equivalent atoms:
Tm 0.000 0.000 0.000
Np 0.000 0.500 0.500
Cl 0.237 0.143 0.241
Cl 0.244 0.000 0.755